Entry 1:
! GaSb2AuI | the Alexandria database | PBE | relaxed; values from VASP
! Energy relative to the lowest polymorph listed for this composition (eV/atom): 0.000
! Formation energy from raw total energies (meV/atom): 490
! Energy (eV per cell): -13.6
&SYSTEM
  ibrav = 0, nat = 5, ntyp = 4
/
ATOMIC_SPECIES
Ga 69.72 Ga.upf
Sb 121.76 Sb.upf
Au 196.97 Au.upf
I 126.90 I.upf
ATOMIC_POSITIONS angstrom
Ga 0.000 0.000 0.000
Sb 0.000 2.701 2.972
Sb 2.701 0.000 2.972
Au 2.701 2.701 2.972
I 2.701 2.701 0.000
CELL_PARAMETERS angstrom
5.403 0.000 0.000
0.000 5.403 0.000
0.000 0.000 5.945


Entry 2:
! NbV4Ru | the Alexandria database | PBE | relaxed; values from VASP
! Energy of formation (kJ/mol of atoms): 27
! Energy relative to the lowest polymorph listed for this composition (eV/atom): 0.301
! Energy (eV per cell): -108.2
&SYSTEM
  ibrav = 0, nat = 12, ntyp = 3
/
ATOMIC_SPECIES
Nb 92.91 Nb.upf
V 50.94 V.upf
Ru 101.07 Ru.upf
ATOMIC_POSITIONS angstrom
Nb 2.243 6.222 2.532
Nb 2.243 -6.222 0.000
V 2.243 6.170 0.046
V 2.243 3.617 0.923
V 2.243 3.543 3.514
V 2.243 1.176 4.120
V 2.243 -1.176 1.588
V 2.243 -3.543 0.982
V 2.243 -3.617 3.455
V 2.243 -6.170 2.578
Ru 2.243 1.262 1.692
Ru 2.243 -1.262 4.224
CELL_PARAMETERS angstrom
2.243 -8.389 0.000
2.243 8.389 0.000
0.000 0.000 5.064


Entry 3:
! TiC2Br | the Alexandria database | PBE | relaxed; values from VASP
! Energy relative to the lowest polymorph listed for this composition (eV/atom): 0.000
! Formation energy from raw total energies (meV/atom): 1539
! Energy (eV per cell): -43.7
&SYSTEM
  ibrav = 0, nat = 8, ntyp = 3
/
ATOMIC_SPECIES
Ti 47.87 Ti.upf
C 12.01 C.upf
Br 79.90 Br.upf
ATOMIC_POSITIONS angstrom
Ti 0.000 0.000 0.000
Ti 0.000 2.522 2.584
C 3.783 0.962 -1.292
C 0.962 1.261 1.292
C -1.261 1.560 3.876
C 1.560 1.261 6.460
Br 2.522 0.000 2.584
Br 0.000 0.000 5.168
CELL_PARAMETERS angstrom
-2.522 2.522 5.168
2.522 -2.522 5.168
2.522 2.522 -5.168


Entry 4:
! HoZnP2Ir5 | the Alexandria database | PBE | relaxed; values from VASP
! Energy of formation (kJ/mol of atoms): -36
! Energy (eV per cell): -64.3
&SYSTEM
  ibrav = 0, nat = 9, ntyp = 4
/
ATOMIC_SPECIES
Ho 164.93 Ho.upf
Zn 65.41 Zn.upf
P 30.97 P.upf
Ir 192.22 Ir.upf
ATOMIC_POSITIONS angstrom
Ho 0.000 0.000 0.000
Zn 0.000 0.000 4.965
P 2.010 2.010 2.275
P 2.010 2.010 7.654
Ir 0.000 2.010 3.363
Ir 0.000 2.010 6.566
Ir 2.010 0.000 3.363
Ir 2.010 0.000 6.566
Ir 2.010 2.010 0.000
CELL_PARAMETERS angstrom
4.021 0.000 0.000
0.000 4.021 0.000
0.000 0.000 9.929


Entry 5:
! RbMnReRu2 | the Alexandria database | PBE | relaxed; values from VASP
! Energy of formation (kJ/mol of atoms): 189
! Energy (eV per cell): -31.4
&SYSTEM
  ibrav = 0, nat = 5, ntyp = 4
/
ATOMIC_SPECIES
Rb 85.47 Rb.upf
Mn 54.94 Mn.upf
Re 186.21 Re.upf
Ru 101.07 Ru.upf
ATOMIC_POSITIONS angstrom
Rb 0.000 0.000 0.000
Mn 2.365 2.365 0.000
Re 0.000 0.000 2.776
Ru 0.000 2.365 2.776
Ru 2.365 0.000 2.776
CELL_PARAMETERS angstrom
4.731 0.000 0.000
0.000 4.731 0.000
0.000 0.000 5.552


Entry 6:
! CaAlInAu6 | the Alexandria database | PBE | relaxed; values from VASP
! Energy of formation (kJ/mol of atoms): -29
! Energy (eV per cell): -61.7
&SYSTEM
  ibrav = 0, nat = 18, ntyp = 4
/
ATOMIC_SPECIES
Ca 40.08 Ca.upf
Al 26.98 Al.upf
In 114.82 In.upf
Au 196.97 Au.upf
ATOMIC_POSITIONS angstrom
Ca 0.000 2.408 2.369
Ca 3.666 2.408 3.034
Al 0.000 0.000 0.000
Al 0.000 4.817 0.000
In 1.833 2.408 -2.701
In 1.833 -2.408 2.701
Au 2.206 0.246 1.372
Au 5.127 0.246 1.372
Au 3.666 -2.408 4.747
Au 3.666 2.408 -0.206
Au 2.206 5.063 -1.372
Au 1.461 0.246 4.031
Au 2.206 4.570 1.372
Au 1.461 -0.246 6.774
Au 0.000 2.408 5.609
Au 0.000 7.225 0.655
Au -1.461 4.570 4.031
Au 1.461 4.570 4.031
CELL_PARAMETERS angstrom
-3.666 4.817 5.403
3.666 -4.817 5.403
3.666 4.817 -5.403


Entry 7:
! Th2PN | the Alexandria database | PBE | relaxed; values from VASP
! Energy relative to the lowest polymorph listed for this composition (eV/atom): 0.305
! Formation energy from raw total energies (meV/atom): -1168
! Energy (eV per cell): -33.2
&SYSTEM
  ibrav = 0, nat = 4, ntyp = 3
/
ATOMIC_SPECIES
Th 232.04 Th.upf
P 30.97 P.upf
N 14.01 N.upf
ATOMIC_POSITIONS angstrom
Th 0.000 0.000 0.000
Th 0.000 0.000 3.284
P 0.000 0.000 11.983
N 0.000 0.000 8.422
CELL_PARAMETERS angstrom
1.881 1.086 6.898
-1.881 1.086 6.898
0.000 -2.172 6.898


Entry 8:
! Ag2PRu | the Alexandria database | PBE | relaxed; values from VASP
! Energy of formation (kJ/mol of atoms): 47
! Energy relative to the lowest polymorph listed for this composition (eV/atom): 0.536
! Energy (eV per cell): -18.4
&SYSTEM
  ibrav = 0, nat = 4, ntyp = 3
/
ATOMIC_SPECIES
Ag 107.87 Ag.upf
P 30.97 P.upf
Ru 101.07 Ru.upf
ATOMIC_POSITIONS angstrom
Ag 1.283 2.243 0.000
Ag 1.283 -2.243 0.000
P 0.000 0.000 1.395
Ru 2.566 0.000 1.395
CELL_PARAMETERS angstrom
2.566 -4.486 0.000
2.566 4.486 0.000
0.000 0.000 2.791


Entry 9:
! LaDy2CdAu4 | the Alexandria database | PBE | relaxed; values from VASP
! Energy of formation (kJ/mol of atoms): -70
! Energy (eV per cell): -34.0
&SYSTEM
  ibrav = 0, nat = 8, ntyp = 4
/
ATOMIC_SPECIES
La 138.91 La.upf
Dy 162.50 Dy.upf
Cd 112.41 Cd.upf
Au 196.97 Au.upf
ATOMIC_POSITIONS angstrom
La 0.000 0.000 0.000
Dy 0.000 0.000 6.137
Dy 0.000 0.000 19.785
Cd 0.000 0.000 12.961
Au 0.000 0.000 3.100
Au 0.000 0.000 10.004
Au 0.000 0.000 15.918
Au 0.000 0.000 22.823
CELL_PARAMETERS angstrom
2.516 1.453 8.641
-2.516 1.453 8.641
0.000 -2.905 8.641


Entry 10:
! Tl2ReRu | the Alexandria database | PBE | relaxed; values from VASP
! Energy of formation (kJ/mol of atoms): 99
! Energy relative to the lowest polymorph listed for this composition (eV/atom): 0.595
! Energy (eV per cell): -22.3
&SYSTEM
  ibrav = 0, nat = 4, ntyp = 3
/
ATOMIC_SPECIES
Tl 204.38 Tl.upf
Re 186.21 Re.upf
Ru 101.07 Ru.upf
ATOMIC_POSITIONS angstrom
Tl 0.000 0.000 2.290
Tl 0.000 0.000 7.095
Re 0.000 2.618 0.000
Ru 1.541 0.000 0.000
CELL_PARAMETERS angstrom
-1.541 2.618 4.693
1.541 -2.618 4.693
1.541 2.618 -4.693


Entry 11:
! IBrF2 | the Alexandria database | PBE | relaxed; values from VASP
! Energy relative to the lowest polymorph listed for this composition (eV/atom): 0.000
! Formation energy from raw total energies (meV/atom): -544
! Energy (eV per cell): -9.1
&SYSTEM
  ibrav = 0, nat = 4, ntyp = 3
/
ATOMIC_SPECIES
I 126.90 I.upf
Br 79.90 Br.upf
F 19.00 F.upf
ATOMIC_POSITIONS angstrom
I 0.000 0.000 0.000
Br 0.000 0.000 15.657
F 0.000 0.000 1.986
F 0.000 0.000 29.327
CELL_PARAMETERS angstrom
1.683 0.972 10.438
-1.683 0.972 10.438
0.000 -1.943 10.438


Entry 12:
! PmTh2Hg | the Alexandria database | PBE | relaxed; values from VASP
! Energy of formation (kJ/mol of atoms): 7
! Energy relative to the lowest polymorph listed for this composition (eV/atom): 0.149
! Energy (eV per cell): -19.6
&SYSTEM
  ibrav = 0, nat = 4, ntyp = 3
/
ATOMIC_SPECIES
Pm 145.00 Pm.upf
Th 232.04 Th.upf
Hg 200.59 Hg.upf
ATOMIC_POSITIONS angstrom
Pm 0.000 0.000 0.000
Th 1.951 1.951 1.951
Th 5.853 5.853 5.853
Hg 3.902 3.902 3.902
CELL_PARAMETERS angstrom
0.000 3.902 3.902
3.902 0.000 3.902
3.902 3.902 0.000


Entry 13:
! Ga2GeN | the Alexandria database | PBE | relaxed; values from VASP
! Energy relative to the lowest polymorph listed for this composition (eV/atom): 0.912
! Formation energy from raw total energies (meV/atom): 970
! Energy (eV per cell): -15.1
&SYSTEM
  ibrav = 0, nat = 4, ntyp = 3
/
ATOMIC_SPECIES
Ga 69.72 Ga.upf
Ge 72.64 Ge.upf
N 14.01 N.upf
ATOMIC_POSITIONS angstrom
Ga 1.565 1.565 1.565
Ga 4.695 4.695 4.695
Ge 0.000 0.000 0.000
N 3.130 3.130 3.130
CELL_PARAMETERS angstrom
0.000 3.130 3.130
3.130 0.000 3.130
3.130 3.130 0.000


Entry 14:
! CsRh | the Alexandria database | PBE | relaxed; values from VASP
! Energy of formation (kJ/mol of atoms): 61
! Energy (eV per cell): -27.8
&SYSTEM
  ibrav = 0, nat = 8, ntyp = 2
/
ATOMIC_SPECIES
Cs 132.91 Cs.upf
Rh 102.91 Rh.upf
ATOMIC_POSITIONS angstrom
Cs 9.331 1.187 0.000
Cs 1.187 2.710 0.000
Cs 4.834 3.310 2.076
Cs -3.310 4.834 2.076
Rh 5.708 1.213 0.000
Rh 4.808 -0.313 2.076
Rh 1.213 6.334 0.000
Rh 0.313 4.808 2.076
CELL_PARAMETERS angstrom
-6.021 6.021 2.076
6.021 -6.021 2.076
6.021 6.021 -2.076


Entry 15:
! TbThZnGe | the Alexandria database | PBE | relaxed; values from VASP
! Energy of formation (kJ/mol of atoms): -41
! Energy (eV per cell): -19.6
&SYSTEM
  ibrav = 0, nat = 4, ntyp = 4
/
ATOMIC_SPECIES
Tb 158.93 Tb.upf
Th 232.04 Th.upf
Zn 65.41 Zn.upf
Ge 72.64 Ge.upf
ATOMIC_POSITIONS angstrom
Tb 0.000 0.000 0.000
Th 3.629 3.629 3.629
Zn 1.815 1.815 1.815
Ge 5.444 5.444 5.444
CELL_PARAMETERS angstrom
0.000 3.629 3.629
3.629 0.000 3.629
3.629 3.629 0.000


Entry 16:
! YReAg2 | the Alexandria database | PBE | relaxed; values from VASP
! Energy of formation (kJ/mol of atoms): 55
! Energy relative to the lowest polymorph listed for this composition (eV/atom): 0.183
! Energy (eV per cell): -22.3
&SYSTEM
  ibrav = 0, nat = 4, ntyp = 3
/
ATOMIC_SPECIES
Y 88.91 Y.upf
Re 186.21 Re.upf
Ag 107.87 Ag.upf
ATOMIC_POSITIONS angstrom
Y 0.000 0.000 0.000
Re 0.000 0.000 4.486
Ag 1.446 1.446 2.424
Ag 1.446 1.446 6.548
CELL_PARAMETERS angstrom
2.893 0.000 0.000
0.000 2.893 0.000
0.000 0.000 8.971


Entry 17:
! Ba2Cu | the Alexandria database | PBE | relaxed; values from VASP
! Energy of formation (kJ/mol of atoms): 8
! Energy (eV per cell): -23.1
&SYSTEM
  ibrav = 0, nat = 9, ntyp = 2
/
ATOMIC_SPECIES
Ba 137.33 Ba.upf
Cu 63.55 Cu.upf
ATOMIC_POSITIONS angstrom
Ba -1.179 2.042 0.000
Ba -2.684 4.648 2.577
Ba 2.358 0.000 0.000
Ba 1.803 3.124 2.577
Ba 5.367 0.000 2.577
Ba 3.308 5.729 0.000
Cu 0.000 0.000 2.577
Cu 0.000 5.181 0.000
Cu 4.487 2.591 0.000
CELL_PARAMETERS angstrom
8.974 0.000 0.000
-4.487 7.772 0.000
0.000 0.000 5.154


Entry 18:
! Si2C2Se | the Alexandria database | PBE | relaxed; values from VASP
! Energy relative to the lowest polymorph listed for this composition (eV/atom): 0.083
! Formation energy from raw total energies (meV/atom): 1123
! Energy (eV per cell): -54.3
&SYSTEM
  ibrav = 0, nat = 10, ntyp = 3
/
ATOMIC_SPECIES
Si 28.09 Si.upf
C 12.01 C.upf
Se 78.96 Se.upf
ATOMIC_POSITIONS angstrom
Si 0.818 2.550 0.000
Si 2.550 5.919 0.000
Si 4.186 0.818 0.000
Si 5.919 4.186 0.000
C 1.456 1.913 1.573
C 1.913 5.281 1.573
C 4.824 1.456 1.573
C 5.281 4.824 1.573
Se 0.000 0.000 1.573
Se 3.368 3.368 1.573
CELL_PARAMETERS angstrom
6.737 0.000 0.000
0.000 6.737 0.000
0.000 0.000 3.146


Entry 19:
! MgTa2Te | the Alexandria database | PBE | relaxed; values from VASP
! Energy relative to the lowest polymorph listed for this composition (eV/atom): 0.310
! Formation energy from raw total energies (meV/atom): 424
! Energy (eV per cell): -53.5
&SYSTEM
  ibrav = 0, nat = 8, ntyp = 3
/
ATOMIC_SPECIES
Mg 24.30 Mg.upf
Ta 180.95 Ta.upf
Te 127.60 Te.upf
ATOMIC_POSITIONS angstrom
Mg 0.000 0.000 0.000
Mg 0.000 2.012 5.185
Ta 3.018 0.987 -2.592
Ta 0.987 1.006 2.592
Ta -1.006 1.025 7.777
Ta 1.025 1.006 12.962
Te 2.012 0.000 5.185
Te 0.000 0.000 10.370
CELL_PARAMETERS angstrom
-2.012 2.012 10.370
2.012 -2.012 10.370
2.012 2.012 -10.370